CaAc3Tl2: relaxed, GGA-PBE.

Structure (POSCAR):
```
CaAc3Tl2
1.0
9.0896 -2.8839 0.0000
9.0896 2.8839 0.0000
-1.1855 0.0000 8.8354
Ca Ac Tl
2 6 4
Direct
0.1606 0.1606 0.2752
0.8394 0.8394 0.7248
0.0588 0.0588 0.8286
0.3179 0.3179 0.9981
0.3746 0.3746 0.4572
0.6254 0.6254 0.5428
0.6821 0.6821 0.0019
0.9412 0.9412 0.1714
0.2181 0.2181 0.6589
0.4663 0.4663 0.8154
0.5337 0.5337 0.1846
0.7819 0.7819 0.3411
```

Properties
Energy above the lowest structure with this stoichiometry, meV per atom: 63
VASP energy, eV per atom: -3.38
ΔE_f, eV/atom: -0.207
D(E_F), states/eV per cell: 9.78